A plane-wave DFT calculation with PBE-GGA was carried out for a relaxed LiPmSbRh crystal.

Lattice parameters (Å, degrees): 6.7504 6.7504 6.7504 90.00 90.00 90.00
Closest atoms and distances in Å follow each position.
Space group F-43m (No. 216)
Unique sites:
Li  0.0000  0.0000  0.0000 [4 per cell]  4 Sb 2.92, 4 Pm 2.92
Pm  0.2500  0.2500  0.7500 [4 per cell]  4 Li 2.92, 4 Rh 2.92
Sb  0.2500  0.2500  0.2500 [4 per cell]  4 Rh 2.92, 4 Li 2.92
Rh  0.0000  0.0000  0.5000 [4 per cell]  4 Sb 2.92, 4 Pm 2.92

Properties
Formation energy from raw total energies in meV/atom: -818.7
DFT total energy in eV per atom: -5.35